{"formula": "MnCrFe2", "functional": "PBE", "state": "relaxed", "cell": [[2.465, 0.000, 0.000], [0.000, 2.465, 0.000], [0.000, 0.000, 7.374]], "species": ["Mn", "Cr", "Fe", "Fe"], "frac_coords": [[0.000, 0.000, 0.000], [0.500, 0.500, 0.257], [0.000, 0.000, 0.511], [0.500, 0.500, 0.763]], "magnetic_moment_mub_per_cell": 1.56, "energy_ev_per_atom": -8.82, "e_form_mev_per_atom": 109, "dos_ef_per_ev_cell": 4.70}